# BiH3Os | Alexandria | PBE | relaxed
# - N(E_F) (states/eV/cell) = 4.9
# - uncorrected energy (eV/cell) = -16.517
data_BiH3Os
_space_group_name_H-M_alt 'P m -3 m'
_space_group_IT_number 221
_space_group_name_Hall '-P 4 2 3'
_cell_length_a 4.073
_cell_length_b 4.073
_cell_length_c 4.073
_cell_angle_alpha 90.00
_cell_angle_beta 90.00
_cell_angle_gamma 90.00
loop_
_atom_site_label
_atom_site_fract_x
_atom_site_fract_y
_atom_site_fract_z
_atom_site_occupancy
Bi1 0.000 0.000 0.000 1
H1 0.000 0.000 0.500 1
Os1 0.500 0.500 0.500 1